No. 1
This record from the Alexandria database describes an optimized crystal structure of TaAl2Re. The functional is PBE.

POSCAR file:
```
TaAl2Re
1.0
-3.180 2.270 3.401
-4.887 0.648 -1.590
3.694 -3.519 0.900
Al Ta Re
2 1 1
Cartesian
-4.115 1.489 0.924
-7.987 2.890 1.793
-2.614 -0.706 0.108
-1.760 0.106 2.603
```

Output
As for the space-group type: Immm. As for the relative energy among the computed polymorphs: 116 meV per atom. As for the formation energy: -0.190 eV per atom.

=====

No. 2
This record from the Alexandria database describes an optimized crystal structure of TaAlRe. The functional is PBE.

POSCAR file:
```
TaAlRe
1.0
4.353 0.000 0.000
2.176 3.770 0.000
2.176 1.257 3.554
Ta Re Al
1 1 1
Cartesian
6.529 3.770 2.666
4.353 2.513 1.777
0.000 0.000 0.000
```

Output
As for the space-group type: F-43m. As for the relative energy among the computed polymorphs: 862 meV per atom. As for the formation energy: 0.627 eV per atom.

=====

No. 3
This record from the Alexandria database describes an optimized crystal structure of Ta2AlRe. The functional is PBE.

POSCAR file:
```
Ta2AlRe
1.0
-1.255 -0.097 2.532
2.400 -1.494 0.070
4.429 7.229 2.472
Ta Al Re
2 1 1
Cartesian
1.704 1.052 1.933
4.383 7.154 2.446
2.260 3.689 1.261
3.870 4.587 3.142
```

Output
As for the space-group type: Cmm2. As for the formation energy: -0.130 eV per atom.

=====

No. 4
This record from the Alexandria database describes an optimized crystal structure of TaAl2Re. The functional is PBE.

POSCAR file:
```
TaAl2Re
1.0
-0.836 -5.864 3.863
6.503 -2.115 -1.802
3.851 -2.708 3.196
Ta Al Re
2 4 2
Cartesian
6.594 -4.406 1.212
2.833 -3.989 1.030
7.968 -9.052 4.167
4.892 -4.983 3.204
4.938 -2.622 0.083
1.237 -4.716 3.060
0.000 0.000 0.000
2.924 -6.281 4.045
```

Output
As for the space-group type: I-42d. As for the relative energy among the computed polymorphs: 728 meV per atom. As for the formation energy: 0.422 eV per atom.

=====

No. 5
This record from the Alexandria database describes an optimized crystal structure of TaAlRe3. The functional is PBE.

POSCAR file:
```
TaAlRe3
1.0
4.420 0.000 0.000
0.000 4.420 0.000
0.000 0.000 4.420
Re Ta Al
3 1 1
Cartesian
0.000 0.000 2.210
0.000 2.210 0.000
2.210 0.000 0.000
2.210 2.210 2.210
0.000 0.000 0.000
```

Output
As for the space-group type: Pm-3m. As for the relative energy among the computed polymorphs: 0 meV per atom. As for the formation energy: 1.390 eV per atom.

=====

No. 6
This record from the Alexandria database describes an optimized crystal structure of Ta2AlRe. The functional is PBE.

POSCAR file:
```
Ta2AlRe
1.0
-0.743 0.484 -2.668
2.676 -0.857 0.083
-2.691 -8.483 -0.791
Al Re Ta
1 1 2
Cartesian
0.294 -2.307 -1.490
-1.052 -6.548 -1.886
-1.354 -4.266 -0.398
-2.684 -8.458 -0.789
```

Output
As for the space-group type: Cmmm. As for the formation energy: -0.159 eV per atom.

=====

No. 7
This record from the Alexandria database describes an optimized crystal structure of TaAl2Re. The functional is PBE.

POSCAR file:
```
TaAl2Re
1.0
-2.230 0.050 -2.365
2.160 -3.261 -2.105
-2.345 -2.941 2.149
Ta Al Re
1 2 1
Cartesian
-0.092 -3.101 0.022
0.000 0.000 0.000
-0.035 -1.605 -2.235
-2.288 -1.446 -0.108
```

Output
As for the space-group type: Pmmm. As for the relative energy among the computed polymorphs: 95 meV per atom. As for the formation energy: -0.210 eV per atom.

=====

No. 8
This record from the Alexandria database describes an optimized crystal structure of Ta2AlRe. The functional is PBE.

POSCAR file:
```
Ta2AlRe
1.0
3.320 0.000 0.000
0.000 3.320 0.000
0.000 0.000 6.014
Re Al Ta
1 1 2
Cartesian
1.660 1.660 4.404
0.000 0.000 3.096
1.660 1.660 1.577
0.000 0.000 5.958
```

Output
As for the space-group type: P4mm. As for the formation energy: -0.158 eV per atom.

=====

No. 9
This record from the Alexandria database describes an optimized crystal structure of TaAl2Re. The functional is PBE.

POSCAR file:
```
TaAl2Re
1.0
-0.532 1.597 4.134
-0.119 -4.115 1.725
3.409 1.326 -2.559
Ta Al Re
1 2 1
Cartesian
1.276 0.832 2.253
0.000 0.000 0.000
1.482 -2.024 1.048
-0.325 -1.259 2.930
```

Output
As for the space-group type: I-4m2. As for the relative energy among the computed polymorphs: 41 meV per atom. As for the formation energy: -0.265 eV per atom.

=====

No. 10
This record from the Alexandria database describes an optimized crystal structure of TaAlRe. The functional is PBE.

POSCAR file:
```
TaAlRe
1.0
4.170 0.000 0.000
2.085 5.377 -0.089
2.085 1.198 4.467
Al Re Ta
2 2 2
Cartesian
6.255 5.340 4.062
2.085 1.235 0.316
4.170 2.250 1.388
4.170 4.324 2.990
6.255 4.835 1.400
2.085 1.740 2.978
```

Output
As for the space-group type: C2/m. As for the relative energy among the computed polymorphs: 259 meV per atom. As for the formation energy: 0.024 eV per atom.

=====

No. 11
This record from the Alexandria database describes an optimized crystal structure of Ta2AlRe. The functional is PBE.

POSCAR file:
```
Ta2AlRe
1.0
-1.560 1.707 1.574
-1.295 -2.213 1.118
5.905 -0.322 6.202
Re Ta Al
1 2 1
Cartesian
3.001 -0.495 5.997
2.942 -0.161 3.090
0.010 -0.001 0.011
0.049 -0.334 2.896
```

Output
As for the space-group type: P4/mmm. As for the formation energy: 0.006 eV per atom.

=====

No. 12
This record from the Alexandria database describes an optimized crystal structure of TaAlRe. The functional is PBE.

POSCAR file:
```
TaAlRe
1.0
-3.512 -0.618 2.683
1.620 -3.412 -2.377
1.711 -0.645 2.092
Ta Re Al
1 1 1
Cartesian
0.971 -2.881 0.608
-1.233 -1.764 1.691
0.081 -0.031 0.099
```

Output
As for the space-group type: P3m1. As for the relative energy among the computed polymorphs: 22 meV per atom. As for the formation energy: -0.213 eV per atom.

=====

No. 13
This record from the Alexandria database describes an optimized crystal structure of Ta2AlRe. The functional is PBE.

POSCAR file:
```
Ta2AlRe
1.0
-3.194 -2.372 -2.170
0.314 -4.513 -0.260
-2.869 -2.610 2.344
Al Ta Re
1 2 1
Cartesian
-2.874 -4.747 -0.043
-1.437 -2.374 -0.022
0.000 0.000 0.000
-4.311 -7.121 -0.065
```

Output
As for the space-group type: F-43m. As for the formation energy: -0.063 eV per atom.

=====

No. 14
This record from the Alexandria database describes an optimized crystal structure of Ta2AlRe. The functional is PBE.

POSCAR file:
```
Ta2AlRe
1.0
4.773 -0.001 0.000
1.016 4.664 0.000
-2.895 -2.332 2.995
Ta Re Al
2 1 1
Cartesian
0.000 0.000 0.000
2.895 2.332 0.000
2.387 0.000 1.497
0.508 2.332 1.497
```

Output
As for the space-group type: I4/mmm. As for the formation energy: -0.133 eV per atom.

=====

No. 15
This record from the Alexandria database describes an optimized crystal structure of Ta5AlRe6. The functional is PBE.

POSCAR file:
```
Ta5AlRe6
1.0
-3.061 -3.064 -1.213
4.450 -3.140 -3.298
0.793 -0.557 7.745
Ta Re Al
5 6 1
Cartesian
0.990 -2.435 3.654
-1.048 -2.719 1.174
3.230 -4.042 2.060
1.191 -4.326 -0.420
2.225 -1.570 -1.649
3.835 -3.580 -0.636
0.571 -4.751 2.220
-0.408 -2.324 -1.438
-1.654 -3.181 3.870
1.796 -3.880 -3.073
1.610 -2.010 1.014
0.000 0.000 0.000
```

Output
As for the space-group type: Immm. As for the formation energy: -0.358 eV per atom.